(1)
Here is a relaxed structure of CaCd2IrO5 from Alexandria via LeMat-Bulk. Energies are from PBE.

## Properties
* ΔE_f (raw): -1152 meV per atom
* D(E_F): 3.275 states/eV/f.u.

Cell: 3.737 5.577 6.756 Å, 114.38 106.06 90.00°
Fractional positions:
O (0.628, 0.378, 0.257)
O (0.000, 0.000, 0.000)
O (0.628, 0.879, 0.257)
O (0.372, 0.121, 0.743)
O (0.372, 0.622, 0.743)
Ca (0.000, 0.500, 0.000)
Cd (0.218, 0.218, 0.436)
Cd (0.782, 0.782, 0.564)
Ir (0.500, 0.000, 0.000)


(2)
Here is a relaxed structure of CaCd2IrO6 from Alexandria via LeMat-Bulk. Energies are from PBE.

## Properties
* ΔE_f (raw): -1274 meV per atom
* D(E_F): 6.328 states/eV/f.u.

Cell: 5.648 5.711 8.140 Å, 90.00 90.29 90.00°
Fractional positions:
O (0.795, 0.838, 0.545)
O (0.394, 0.927, 0.725)
O (0.848, 0.788, 0.928)
O (0.652, 0.288, 0.572)
O (0.205, 0.162, 0.455)
O (0.348, 0.712, 0.428)
O (0.106, 0.427, 0.775)
O (0.606, 0.073, 0.275)
O (0.894, 0.573, 0.225)
O (0.152, 0.212, 0.072)
O (0.295, 0.662, 0.045)
O (0.705, 0.338, 0.955)
Cd (0.998, 0.961, 0.259)
Cd (0.498, 0.539, 0.759)
Cd (0.002, 0.039, 0.741)
Cd (0.502, 0.461, 0.241)
Ir (0.500, 0.000, 0.500)
Ir (0.000, 0.500, 0.000)
Ca (0.500, 0.000, 0.000)
Ca (0.000, 0.500, 0.500)


(3)
Here is a relaxed structure of CaPrCdIr from Alexandria via LeMat-Bulk. Energies are from PBE.

## Properties
* ΔH_f (0 K): -1.317 eV per formula unit
* D(E_F): 3.594 states/eV/f.u.

Cell: 5.160 5.160 5.160 Å, 60.00 60.00 60.00°
Fractional positions:
Ir (0.250, 0.250, 0.250)
Cd (0.750, 0.750, 0.750)
Pr (0.500, 0.500, 0.500)
Ca (0.000, 0.000, 0.000)


(4)
Here is a relaxed structure of CaPuCdIr from Alexandria via LeMat-Bulk. Energies are from PBE.

## Properties
* ΔH_f (0 K): -0.647 eV per formula unit
* D(E_F): 9.890 states/eV/f.u.

Cell: 5.067 5.067 5.067 Å, 60.00 60.00 60.00°
Fractional positions:
Cd (0.750, 0.750, 0.750)
Ir (0.250, 0.250, 0.250)
Pu (0.500, 0.500, 0.500)
Ca (0.000, 0.000, 0.000)


(5)
Here is a relaxed structure of RbCaCd2Ir from Alexandria via LeMat-Bulk. Energies are from PBE.

## Properties
* ΔH_f (0 K): -0.410 eV per formula unit
* D(E_F): 2.381 states/eV/f.u.

Cell: 5.422 5.350 5.422 Å, 90.00 90.00 90.00°
Fractional positions:
Cd (0.500, 0.000, 0.000)
Cd (0.000, 0.000, 0.500)
Rb (0.500, 0.500, 0.500)
Ir (0.000, 0.000, 0.000)
Ca (0.000, 0.500, 0.000)


(6)
Here is a relaxed structure of RbCa2CdIr from Alexandria via LeMat-Bulk. Energies are from PBE.

## Properties
* ΔH_f (0 K): -0.517 eV per formula unit
* D(E_F): 2.067 states/eV/f.u.

Cell: 5.558 5.558 5.531 Å, 90.00 90.00 90.00°
Fractional positions:
Ca (0.000, 0.500, 0.000)
Ca (0.500, 0.000, 0.000)
Ir (0.000, 0.000, 0.000)
Rb (0.500, 0.500, 0.500)
Cd (0.000, 0.000, 0.500)


Q: What is the D(E_F) in the fifth record?
A: 2.381 states/eV/f.u.


Q: Among the records above, which one has the highest D(E_F)?
A: CaPuCdIr